Record 1
NaScFeSe3 after structural relaxation. Source: the Open Quantum Materials Database, functional PBE-GGA.

Summary:
Polymorph energy (0 for the lowest one) ... 21 kJ/mol of formula units

CIF file:
```
data_NaScFeSe3
_chemical_formula_sum 'Na4 Sc4 Fe4 Se12'
_symmetry_space_group_name_H-M 'C m c m'
_symmetry_Int_Tables_number 63
_symmetry_space_group_name_Hall '-C 2c 2'
_cell_length_a 3.871
_cell_length_b 13.547
_cell_length_c 10.239
_cell_angle_alpha 90.00
_cell_angle_beta 90.00
_cell_angle_gamma 90.00
loop_
_atom_site_label
_atom_site_type_symbol
_atom_site_fract_x
_atom_site_fract_y
_atom_site_fract_z
Na1 Na 0.000 0.244 0.250
Sc1 Sc 0.000 0.000 0.000
Fe1 Fe 0.000 0.470 0.750
Se1 Se 0.000 0.080 0.750
Se2 Se 0.000 0.366 0.561
```

Record 2
NaScFeTe3 after structural relaxation. Source: the Open Quantum Materials Database, functional PBE-GGA.

Summary:
Calculated total energy ... -118.510 eV for the cell shown

CIF file:
```
data_NaScFeTe3
_chemical_formula_sum 'Na4 Sc4 Fe4 Te12'
_symmetry_space_group_name_H-M 'C m c m'
_symmetry_Int_Tables_number 63
_symmetry_space_group_name_Hall '-C 2c 2'
_cell_length_a 4.070
_cell_length_b 14.757
_cell_length_c 10.858
_cell_angle_alpha 90.00
_cell_angle_beta 90.00
_cell_angle_gamma 90.00
loop_
_atom_site_label
_atom_site_type_symbol
_atom_site_fract_x
_atom_site_fract_y
_atom_site_fract_z
Na1 Na 0.000 0.240 0.250
Sc1 Sc 0.000 0.000 0.000
Fe1 Fe 0.000 0.469 0.750
Te1 Te 0.000 0.082 0.750
Te2 Te 0.000 0.364 0.559
```

Record 3
NaScFeTe after structural relaxation. Source: the Open Quantum Materials Database, functional PBE-GGA.

Summary:
Polymorph energy (0 for the lowest one) ... 0 kJ/mol of formula units

CIF file:
```
data_NaScFeTe
_chemical_formula_sum 'Na4 Sc4 Fe4 Te4'
_symmetry_space_group_name_H-M 'F -4 3 m'
_symmetry_Int_Tables_number 216
_symmetry_space_group_name_Hall 'F -4 2 3'
_cell_length_a 6.932
_cell_length_b 6.932
_cell_length_c 6.932
_cell_angle_alpha 90.00
_cell_angle_beta 90.00
_cell_angle_gamma 90.00
loop_
_atom_site_label
_atom_site_type_symbol
_atom_site_fract_x
_atom_site_fract_y
_atom_site_fract_z
Na1 Na 0.000 0.000 0.000
Sc1 Sc 0.000 0.000 0.500
Fe1 Fe 0.250 0.250 0.750
Te1 Te 0.250 0.250 0.250
```

Record 4
NaScFeTe3 after structural relaxation. Source: the Open Quantum Materials Database, functional PBE-GGA.

Summary:
Calculated total energy ... -118.500 eV for the cell shown

CIF file:
```
data_NaScFeTe3
_chemical_formula_sum 'Na4 Sc4 Fe4 Te12'
_symmetry_space_group_name_H-M 'P n m a'
_symmetry_Int_Tables_number 62
_cell_length_a 10.928
_cell_length_b 4.115
_cell_length_c 14.471
_cell_angle_alpha 90.00
_cell_angle_beta 90.00
_cell_angle_gamma 90.00
loop_
_symmetry_equiv_pos_as_xyz
'x,y,z'
'-x,-y,-z'
'-x+1/2,-y,z+1/2'
'x+1/2,y,-z+1/2'
'x+1/2,-y+1/2,-z+1/2'
'-x+1/2,y+1/2,z+1/2'
'-x,y+1/2,-z'
'x,-y+1/2,z'
loop_
_atom_site_label
_atom_site_type_symbol
_atom_site_fract_x
_atom_site_fract_y
_atom_site_fract_z
Na1 Na 0.243 0.250 0.015
Sc1 Sc 0.007 0.750 0.749
Fe1 Fe 0.245 0.750 0.219
Te1 Te 0.053 0.750 0.114
Te2 Te 0.065 0.250 0.613
Te3 Te 0.243 0.250 0.332
```

Record 5
NaScFeTe after structural relaxation. Source: the Open Quantum Materials Database, functional PBE-GGA.

Summary:
Polymorph energy (0 for the lowest one) ... 7 kJ/mol of formula units

CIF file:
```
data_NaScFeTe
_chemical_formula_sum 'Na4 Sc4 Fe4 Te4'
_symmetry_space_group_name_H-M 'F -4 3 m'
_symmetry_Int_Tables_number 216
_symmetry_space_group_name_Hall 'F -4 2 3'
_cell_length_a 6.488
_cell_length_b 6.488
_cell_length_c 6.488
_cell_angle_alpha 90.00
_cell_angle_beta 90.00
_cell_angle_gamma 90.00
loop_
_atom_site_label
_atom_site_type_symbol
_atom_site_fract_x
_atom_site_fract_y
_atom_site_fract_z
Na1 Na 0.000 0.000 0.000
Sc1 Sc 0.250 0.250 0.750
Fe1 Fe 0.000 0.000 0.500
Te1 Te 0.250 0.250 0.250
```

Record 6
Na6FeSe4 after structural relaxation. Source: the Open Quantum Materials Database, functional PBE-GGA.

Summary:
Calculated total energy ... -79.889 eV for the cell shown

CIF file:
```
data_Na6FeSe4
_chemical_formula_sum 'Na12 Fe2 Se8'
_symmetry_space_group_name_H-M 'P 63 m c'
_symmetry_Int_Tables_number 186
_symmetry_space_group_name_Hall 'P 6c -2c'
_cell_length_a 9.3015
_cell_length_b 9.3015
_cell_length_c 7.1387
_cell_angle_alpha 90.00
_cell_angle_beta 90.00
_cell_angle_gamma 120.00
loop_
_atom_site_label
_atom_site_type_symbol
_atom_site_fract_x
_atom_site_fract_y
_atom_site_fract_z
Na1 Na 0.0584 0.5292 0.0000
Na2 Na 0.1471 0.2942 0.6736
Fe1 Fe 0.3333 0.6667 0.3806
Se1 Se 0.1873 0.3747 0.2736
Se2 Se 0.3333 0.6667 0.7277
```

Record 7
Na4FeSe4 after structural relaxation. Source: the Open Quantum Materials Database, functional PBE-GGA.

Summary:
Calculated total energy ... -68.483 eV for the cell shown

CIF file:
```
data_Na4FeSe4
_chemical_formula_sum 'Na8 Fe2 Se8'
_symmetry_space_group_name_H-M 'P -1'
_symmetry_Int_Tables_number 2
_cell_length_a 6.930
_cell_length_b 7.225
_cell_length_c 10.053
_cell_angle_alpha 73.30
_cell_angle_beta 87.62
_cell_angle_gamma 69.76
loop_
_symmetry_equiv_pos_as_xyz
'x,y,z'
'-x,-y,-z'
loop_
_atom_site_label
_atom_site_type_symbol
_atom_site_fract_x
_atom_site_fract_y
_atom_site_fract_z
Na1 Na 0.181 0.294 0.147
Na2 Na 0.245 0.549 0.379
Na3 Na 0.272 0.953 0.602
Na4 Na 0.306 0.835 0.029
Fe1 Fe 0.271 0.417 0.742
Se1 Se 0.021 0.703 0.595
Se2 Se 0.074 0.246 0.887
Se3 Se 0.445 0.580 0.837
Se4 Se 0.469 0.840 0.327
```

Record 8
NaFe3Se5 after structural relaxation. Source: the Open Quantum Materials Database, functional PBE-GGA.

Summary:
Calculated total energy ... -46.006 eV for the cell shown

CIF file:
```
data_NaFe3Se5
_chemical_formula_sum 'Na1 Fe3 Se5'
_symmetry_space_group_name_H-M 'P 6/m m m'
_symmetry_Int_Tables_number 191
_symmetry_space_group_name_Hall '-P 6 2'
_cell_length_a 5.5353
_cell_length_b 5.5353
_cell_length_c 7.0115
_cell_angle_alpha 90.00
_cell_angle_beta 90.00
_cell_angle_gamma 120.00
loop_
_atom_site_label
_atom_site_type_symbol
_atom_site_fract_x
_atom_site_fract_y
_atom_site_fract_z
Na1 Na 0.0000 0.0000 0.0000
Fe1 Fe 0.0000 0.5000 0.5000
Se1 Se 0.0000 0.0000 0.5000
Se2 Se 0.3333 0.6667 0.2479
```

Record 9
NaFe2Se3 after structural relaxation. Source: the Open Quantum Materials Database, functional PBE-GGA.

Summary:
Calculated total energy ... -61.980 eV for the cell shown

CIF file:
```
data_NaFe2Se3
_chemical_formula_sum 'Na2 Fe4 Se6'
_symmetry_space_group_name_H-M 'P 1 21/m 1'
_symmetry_Int_Tables_number 11
_cell_length_a 7.553
_cell_length_b 3.548
_cell_length_c 9.277
_cell_angle_alpha 90.00
_cell_angle_beta 112.85
_cell_angle_gamma 90.00
loop_
_symmetry_equiv_pos_as_xyz
'x,y,z'
'-x,-y,-z'
'-x,y+1/2,-z'
'x,-y+1/2,z'
loop_
_atom_site_label
_atom_site_type_symbol
_atom_site_fract_x
_atom_site_fract_y
_atom_site_fract_z
Na1 Na 0.242 0.250 0.221
Fe1 Fe 0.195 0.750 0.664
Fe2 Fe 0.418 0.250 0.890
Se1 Se 0.044 0.750 0.379
Se2 Se 0.231 0.750 0.942
Se3 Se 0.399 0.250 0.633
```

Record 10
NaTaFeSe3 after structural relaxation. Source: the Open Quantum Materials Database, functional PBE-GGA.

Summary:
Calculated total energy ... -144.428 eV for the cell shown

CIF file:
```
data_NaTaFeSe3
_chemical_formula_sum 'Na4 Ta4 Fe4 Se12'
_symmetry_space_group_name_H-M 'C m c m'
_symmetry_Int_Tables_number 63
_symmetry_space_group_name_Hall '-C 2c 2'
_cell_length_a 3.527
_cell_length_b 14.249
_cell_length_c 9.600
_cell_angle_alpha 90.00
_cell_angle_beta 90.00
_cell_angle_gamma 90.00
loop_
_atom_site_label
_atom_site_type_symbol
_atom_site_fract_x
_atom_site_fract_y
_atom_site_fract_z
Na1 Na 0.000 0.242 0.250
Ta1 Ta 0.000 0.000 0.000
Fe1 Fe 0.000 0.471 0.750
Se1 Se 0.000 0.085 0.750
Se2 Se 0.000 0.368 0.555
```

Record 11
NaTmFeSe3 after structural relaxation. Source: the Open Quantum Materials Database, functional PBE-GGA.

Summary:
Polymorph energy (0 for the lowest one) ... 0 kJ/mol of formula units

CIF file:
```
data_NaTmFeSe3
_chemical_formula_sum 'Na4 Tm4 Fe4 Se12'
_symmetry_space_group_name_H-M 'P n m a'
_symmetry_Int_Tables_number 62
_cell_length_a 13.832
_cell_length_b 3.948
_cell_length_c 10.882
_cell_angle_alpha 90.00
_cell_angle_beta 90.00
_cell_angle_gamma 90.00
loop_
_symmetry_equiv_pos_as_xyz
'x,y,z'
'-x,-y,-z'
'-x+1/2,-y,z+1/2'
'x+1/2,y,-z+1/2'
'x+1/2,-y+1/2,-z+1/2'
'-x+1/2,y+1/2,z+1/2'
'-x,y+1/2,-z'
'x,-y+1/2,z'
loop_
_atom_site_label
_atom_site_type_symbol
_atom_site_fract_x
_atom_site_fract_y
_atom_site_fract_z
Na1 Na 0.230 0.250 0.052
Tm1 Tm 0.013 0.250 0.342
Fe1 Fe 0.009 0.750 0.080
Se1 Se 0.100 0.750 0.885
Se2 Se 0.112 0.250 0.566
Se3 Se 0.133 0.750 0.236
```

Record 12
NaTmFeSe3 after structural relaxation. Source: the Open Quantum Materials Database, functional PBE-GGA.

Summary:
Polymorph energy (0 for the lowest one) ... 18 kJ/mol of formula units

CIF file:
```
data_NaTmFeSe3
_chemical_formula_sum 'Na4 Tm4 Fe4 Se12'
_symmetry_space_group_name_H-M 'P n m a'
_symmetry_Int_Tables_number 62
_cell_length_a 10.639
_cell_length_b 4.015
_cell_length_c 13.508
_cell_angle_alpha 90.00
_cell_angle_beta 90.00
_cell_angle_gamma 90.00
loop_
_symmetry_equiv_pos_as_xyz
'x,y,z'
'-x,-y,-z'
'-x+1/2,-y,z+1/2'
'x+1/2,y,-z+1/2'
'x+1/2,-y+1/2,-z+1/2'
'-x+1/2,y+1/2,z+1/2'
'-x,y+1/2,-z'
'x,-y+1/2,z'
loop_
_atom_site_label
_atom_site_type_symbol
_atom_site_fract_x
_atom_site_fract_y
_atom_site_fract_z
Na1 Na 0.218 0.250 0.004
Tm1 Tm 0.017 0.750 0.742
Fe1 Fe 0.234 0.750 0.221
Se1 Se 0.047 0.750 0.119
Se2 Se 0.091 0.250 0.608
Se3 Se 0.236 0.250 0.329
```

Record 13
NaTmFeSe3 after structural relaxation. Source: the Open Quantum Materials Database, functional PBE-GGA.

Summary:
Polymorph energy (0 for the lowest one) ... 67 kJ/mol of formula units

CIF file:
```
data_NaTmFeSe3
_chemical_formula_sum 'Na4 Tm4 Fe4 Se12'
_symmetry_space_group_name_H-M 'P n m a'
_symmetry_Int_Tables_number 62
_cell_length_a 8.164
_cell_length_b 4.152
_cell_length_c 15.964
_cell_angle_alpha 90.00
_cell_angle_beta 90.00
_cell_angle_gamma 90.00
loop_
_symmetry_equiv_pos_as_xyz
'x,y,z'
'-x,-y,-z'
'-x+1/2,-y,z+1/2'
'x+1/2,y,-z+1/2'
'x+1/2,-y+1/2,-z+1/2'
'-x+1/2,y+1/2,z+1/2'
'-x,y+1/2,-z'
'x,-y+1/2,z'
loop_
_atom_site_label
_atom_site_type_symbol
_atom_site_fract_x
_atom_site_fract_y
_atom_site_fract_z
Na1 Na 0.074 0.250 0.214
Tm1 Tm 0.246 0.750 0.455
Fe1 Fe 0.123 0.250 0.641
Se1 Se 0.006 0.250 0.410
Se2 Se 0.126 0.750 0.057
Se3 Se 0.194 0.250 0.784
```

Record 14
NaTmFeSe3 after structural relaxation. Source: the Open Quantum Materials Database, functional PBE-GGA.

Summary:
Polymorph energy (0 for the lowest one) ... 3 kJ/mol of formula units

CIF file:
```
data_NaTmFeSe3
_chemical_formula_sum 'Na2 Tm2 Fe2 Se6'
_symmetry_space_group_name_H-M 'P 1 21/m 1'
_symmetry_Int_Tables_number 11
_cell_length_a 8.010
_cell_length_b 3.923
_cell_length_c 9.761
_cell_angle_alpha 90.00
_cell_angle_beta 106.30
_cell_angle_gamma 90.00
loop_
_symmetry_equiv_pos_as_xyz
'x,y,z'
'-x,-y,-z'
'-x,y+1/2,-z'
'x,-y+1/2,z'
loop_
_atom_site_label
_atom_site_type_symbol
_atom_site_fract_x
_atom_site_fract_y
_atom_site_fract_z
Na1 Na 0.242 0.250 0.277
Tm1 Tm 0.319 0.750 0.855
Fe1 Fe 0.069 0.250 0.587
Se1 Se 0.061 0.250 0.832
Se2 Se 0.243 0.750 0.544
Se3 Se 0.434 0.750 0.152
```

Record 15
NaTmFeSe3 after structural relaxation. Source: the Open Quantum Materials Database, functional PBE-GGA.

Summary:
Polymorph energy (0 for the lowest one) ... 18 kJ/mol of formula units

CIF file:
```
data_NaTmFeSe3
_chemical_formula_sum 'Na4 Tm4 Fe4 Se12'
_symmetry_space_group_name_H-M 'C m c m'
_symmetry_Int_Tables_number 63
_symmetry_space_group_name_Hall '-C 2c 2'
_cell_length_a 4.000
_cell_length_b 13.543
_cell_length_c 10.613
_cell_angle_alpha 90.00
_cell_angle_beta 90.00
_cell_angle_gamma 90.00
loop_
_atom_site_label
_atom_site_type_symbol
_atom_site_fract_x
_atom_site_fract_y
_atom_site_fract_z
Na1 Na 0.000 0.244 0.250
Tm1 Tm 0.000 0.000 0.000
Fe1 Fe 0.000 0.471 0.750
Se1 Se 0.000 0.079 0.750
Se2 Se 0.000 0.363 0.569
```

Record 16
NaZnFeSe3 after structural relaxation. Source: the Open Quantum Materials Database, functional PBE-GGA.

Summary:
Calculated total energy ... -48.349 eV for the cell shown

CIF file:
```
data_NaZnFeSe3
_chemical_formula_sum 'Na2 Zn2 Fe2 Se6'
_symmetry_space_group_name_H-M 'P 1 21/m 1'
_symmetry_Int_Tables_number 11
_cell_length_a 8.062
_cell_length_b 3.568
_cell_length_c 9.907
_cell_angle_alpha 90.00
_cell_angle_beta 106.55
_cell_angle_gamma 90.00
loop_
_symmetry_equiv_pos_as_xyz
'x,y,z'
'-x,-y,-z'
'-x,y+1/2,-z'
'x,-y+1/2,z'
loop_
_atom_site_label
_atom_site_type_symbol
_atom_site_fract_x
_atom_site_fract_y
_atom_site_fract_z
Na1 Na 0.226 0.250 0.252
Zn1 Zn 0.333 0.750 0.899
Fe1 Fe 0.072 0.250 0.594
Se1 Se 0.088 0.250 0.836
Se2 Se 0.226 0.750 0.524
Se3 Se 0.459 0.750 0.159
```

Record 17
NaZrFeSe3 after structural relaxation. Source: the Open Quantum Materials Database, functional PBE-GGA.

Summary:
Calculated total energy ... -138.256 eV for the cell shown

CIF file:
```
data_NaZrFeSe3
_chemical_formula_sum 'Na4 Zr4 Fe4 Se12'
_symmetry_space_group_name_H-M 'C m c m'
_symmetry_Int_Tables_number 63
_symmetry_space_group_name_Hall '-C 2c 2'
_cell_length_a 3.781
_cell_length_b 13.814
_cell_length_c 10.048
_cell_angle_alpha 90.00
_cell_angle_beta 90.00
_cell_angle_gamma 90.00
loop_
_atom_site_label
_atom_site_type_symbol
_atom_site_fract_x
_atom_site_fract_y
_atom_site_fract_z
Na1 Na 0.000 0.243 0.250
Zr1 Zr 0.000 0.000 0.000
Fe1 Fe 0.000 0.472 0.750
Se1 Se 0.000 0.086 0.750
Se2 Se 0.000 0.365 0.561
```

Record 18
Na6FeSi after structural relaxation. Source: the Open Quantum Materials Database, functional PBE-GGA.

Summary:
Calculated total energy ... -54.812 eV for the cell shown

CIF file:
```
data_Na6FeSi
_chemical_formula_sum 'Na18 Fe3 Si3'
_symmetry_space_group_name_H-M 'R -3'
_symmetry_Int_Tables_number 148
_symmetry_space_group_name_Hall '-R 3'
_cell_length_a 8.2960
_cell_length_b 8.2960
_cell_length_c 9.7447
_cell_angle_alpha 90.00
_cell_angle_beta 90.00
_cell_angle_gamma 120.00
loop_
_atom_site_label
_atom_site_type_symbol
_atom_site_fract_x
_atom_site_fract_y
_atom_site_fract_z
Na1 Na 0.0045 0.7475 0.2519
Fe1 Fe 0.0000 0.0000 0.0000
Si1 Si 0.0000 0.0000 0.5000
```

Record 19
NaSmFeTe3 after structural relaxation. Source: the Open Quantum Materials Database, functional PBE-GGA.

Summary:
Polymorph energy (0 for the lowest one) ... 16 kJ/mol of formula units

CIF file:
```
data_NaSmFeTe3
_chemical_formula_sum 'Na4 Sm4 Fe4 Te12'
_symmetry_space_group_name_H-M 'C m c m'
_symmetry_Int_Tables_number 63
_symmetry_space_group_name_Hall '-C 2c 2'
_cell_length_a 4.322
_cell_length_b 14.599
_cell_length_c 11.597
_cell_angle_alpha 90.00
_cell_angle_beta 90.00
_cell_angle_gamma 90.00
loop_
_atom_site_label
_atom_site_type_symbol
_atom_site_fract_x
_atom_site_fract_y
_atom_site_fract_z
Na1 Na 0.000 0.240 0.250
Sm1 Sm 0.000 0.000 0.000
Fe1 Fe 0.000 0.471 0.750
Te1 Te 0.000 0.083 0.750
Te2 Te 0.000 0.359 0.574
```

Short version: volume = 537.0 652.1 333.0 650.8 273.1 534.9 451.4 186.0 229.1 482.4 594.3 577.0 541.2 294.4 575.0 273.2 524.8 580.8 731.7 Å³ per cell, in the order given.